CoPt2 | PBE-GGA | optimized geometry

The structure in CIF format:
```
data_CoPt2
_space_group_name_H-M_alt 'P 1'
_space_group_IT_number 1
_cell_length_a 4.185
_cell_length_b 4.185
_cell_length_c 2.783
_cell_angle_alpha 90.00
_cell_angle_beta 90.00
_cell_angle_gamma 90.00
loop_
_space_group_symop_operation_xyz
'x,y,z'
loop_
_atom_site_label
_atom_site_fract_x
_atom_site_fract_y
_atom_site_fract_z
Co1 0.000 0.000 0.000
Pt1 0.000 0.500 0.500
Pt2 0.500 0.000 0.500
```

Values from the calculation:
energy: -6.10 eV/atom
E_form: 0.29 eV/atom
total moment: 0.941 μB per atom

CoPt2 | PBE-GGA | optimized geometry

The structure in CIF format:
```
data_CoPt2
_space_group_name_H-M_alt 'P 1'
_space_group_IT_number 1
_cell_length_a 4.914
_cell_length_b 4.914
_cell_length_c 4.914
_cell_angle_alpha 103.14
_cell_angle_beta 103.14
_cell_angle_gamma 123.04
loop_
_space_group_symop_operation_xyz
'x,y,z'
loop_
_atom_site_label
_atom_site_fract_x
_atom_site_fract_y
_atom_site_fract_z
Co1 0.250 0.250 0.000
Co2 0.750 0.750 0.000
Pt1 0.155 0.655 0.809
Pt2 0.345 0.155 0.500
Pt3 0.655 0.845 0.500
Pt4 0.845 0.345 0.191
```

Values from the calculation:
energy: -6.32 eV/atom
E_form: 0.07 eV/atom
total moment: 0.913 μB per atom

Question: Which value of energy does entry 2 give?
Answer: -6.32 eV/atom

Question: Which of these has the highest total moment?
Answer: number 1

Question: Among the records above, which one has the lowest E_form?
Answer: number 2